Below is a relaxed structure of TaAlAu2, with properties calculated at the PBE-GGA level.

Structure (extended XYZ):
```
4
Lattice="-2.461 0.271 1.838 1.881 -3.176 2.988 2.169 3.528 2.383" Properties=species:S:1:pos:R:3 pbc="T T T"
Au 0.000 0.000 0.000
Au -0.290 -1.452 2.413
Al 2.025 0.176 2.686
Ta -0.146 1.900 2.111
```

- Volume: 17.49 Å³/atom
- D(E_F): 2.226 states/eV/cell

Below is a relaxed structure of Na2AuF, with properties calculated at the PBE-GGA level.

Structure (extended XYZ):
```
4
Lattice="-1.689 -2.114 -1.585 1.400 -1.886 -2.078 1.199 -6.624 4.455" Properties=species:S:1:pos:R:3 pbc="T T T"
Na 0.139 -2.294 -0.191
Na 0.771 -8.331 0.983
Au 0.455 -5.312 0.396
F 0.000 0.000 0.000
```

- ΔE_f (raw): -5.54 eV per formula unit
- ΔE to the lowest computed polymorph: 5 meV per atom
- Volume: 16.75 Å³/atom
- D(E_F): 0.822 states/eV/cell

Below is a relaxed structure of LaNd2S, with properties calculated at the PBE-GGA level.

Structure (extended XYZ):
```
4
Lattice="-0.640 -3.603 -1.278 1.296 -1.077 -3.491 8.549 -4.454 2.396" Properties=species:S:1:pos:R:3 pbc="T T T"
S 0.000 0.000 0.000
Nd 1.739 -2.088 -0.862
Nd 7.466 -7.047 -1.511
La 4.602 -4.568 -1.186
```

- ΔE_f (raw): -3.65 eV per formula unit
- Volume: 31.49 Å³/atom
- D(E_F): 5.037 states/eV/cell

Below is a relaxed structure of H2PtAu, with properties calculated at the PBE-GGA level.

Structure (extended XYZ):
```
8
Lattice="-0.304 2.180 3.617 -3.403 -2.274 1.084 0.959 -3.228 4.504" Properties=species:S:1:pos:R:3 pbc="T T T"
H -0.357 0.140 3.305
H -1.943 -1.825 2.473
H -0.874 -2.593 5.206
H -2.320 -2.368 7.427
Au 0.000 0.000 0.000
Au -0.599 -0.548 5.236
Pt -1.853 -0.047 2.351
Pt -2.148 -2.775 3.970
```

- ΔE to the lowest computed polymorph: 64 meV per atom
- Volume: 10.67 Å³/atom
- D(E_F): 1.196 states/eV/cell

Below is a relaxed structure of HfHg2Os, with properties calculated at the PBE-GGA level.

Structure (extended XYZ):
```
8
Lattice="7.820 0.000 0.000 0.000 7.820 0.000 3.910 3.910 2.749" Properties=species:S:1:pos:R:3 pbc="T T T"
Hf 3.910 3.910 0.000
Hf 3.910 7.820 1.375
Os 0.000 0.000 0.000
Os 7.820 3.910 1.375
Hg 6.026 1.955 0.687
Hg 1.794 5.865 0.687
Hg 5.865 5.705 2.062
Hg 9.775 9.936 2.062
```

- ΔE to the lowest computed polymorph: 304 meV per atom
- Volume: 21.02 Å³/atom
- D(E_F): 7.012 states/eV/cell

Below is a relaxed structure of Ti4Ga2Mo, with properties calculated at the PBE-GGA level.

Structure (extended XYZ):
```
14
Lattice="-5.170 4.294 -3.155 0.681 -2.505 -4.526 -1.442 -6.223 3.227" Properties=species:S:1:pos:R:3 pbc="T T T"
Ti -2.908 -0.304 -3.297
Ti -0.135 -1.353 -3.783
Ti -5.796 -3.082 -0.671
Ti -2.572 -1.540 -5.530
Ti -5.557 1.032 -2.912
Ti -3.358 -2.894 1.076
Ti -3.022 -4.130 -1.156
Ti -0.373 -5.466 -1.542
Ga -3.912 0.841 -5.566
Ga -2.018 -5.276 1.112
Ga -1.909 -1.455 -0.986
Ga -4.022 -2.979 -3.468
Mo -1.348 -3.216 -2.934
Mo -4.583 -1.218 -1.520
```

- ΔE to the lowest computed polymorph: 0 meV per atom
- Volume: 16.48 Å³/atom
- D(E_F): 15.188 states/eV/cell

Below is a relaxed structure of SrLi2Dy2Tl2, with properties calculated at the PBE-GGA level.

Structure (extended XYZ):
```
7
Lattice="-4.056 -2.833 0.145 0.199 -4.504 2.044 -3.581 1.270 9.140" Properties=species:S:1:pos:R:3 pbc="T T T"
Sr 0.000 0.000 0.000
Li -3.108 -4.023 3.424
Li -4.331 -2.044 7.905
Dy -2.682 -0.186 5.845
Dy -4.757 -5.881 5.484
Tl -5.578 -4.552 8.493
Tl -1.860 -1.515 2.835
```

- Volume: 28.72 Å³/atom
- D(E_F): 6.572 states/eV/cell

Below is a relaxed structure of La2AlCoH, with properties calculated at the PBE-GGA level.

Structure (extended XYZ):
```
5
Lattice="-3.044 -1.169 -4.078 4.153 -1.845 -2.571 -0.612 -3.352 1.418" Properties=species:S:1:pos:R:3 pbc="T T T"
H 0.000 0.000 0.000
Co -0.306 -1.676 0.709
Al 0.249 -3.183 -2.616
La 2.076 -0.923 -1.285
La -1.522 -0.584 -2.039
```

- Volume: 20.12 Å³/atom
- D(E_F): 2.479 states/eV/cell

Below is a relaxed structure of Na2CdIn4Hg3, with properties calculated at the PBE-GGA level.

Structure (extended XYZ):
```
10
Lattice="-1.984 0.926 -3.948 -1.547 -4.236 -0.215 -11.374 3.819 6.611" Properties=species:S:1:pos:R:3 pbc="T T T"
Na -3.665 1.360 -0.421
Na -9.475 0.804 4.950
Cd -7.453 0.254 1.223
In -1.766 -1.655 -2.082
In 0.000 0.000 0.000
In -8.327 2.925 2.289
In -4.813 -0.762 2.240
Hg -5.687 1.909 3.305
Hg -10.654 3.707 3.641
Hg -2.486 -1.543 0.887
```

- Volume: 27.92 Å³/atom
- D(E_F): 6.117 states/eV/cell

Below is a relaxed structure of NaVIN2, with properties calculated at the PBE-GGA level.

Structure (extended XYZ):
```
5
Lattice="4.231 0.000 0.000 0.000 4.231 0.000 0.000 0.000 5.474" Properties=species:S:1:pos:R:3 pbc="T T T"
I 0.000 0.000 2.737
Na 0.000 0.000 0.000
N 0.000 2.116 0.000
N 2.116 0.000 0.000
V 2.116 2.116 2.737
```

- ΔE_f (raw): 11.79 eV per formula unit
- ΔE to the lowest computed polymorph: 2268 meV per atom
- Volume: 19.60 Å³/atom
- D(E_F): 7.801 states/eV/cell

Asked for E across the records above, the calculation gives -22.13 -13.33 -22.24 -30.51 -37.77 -99.02 -20.75 -25.12 -15.93 -16.85 eV for the cell shown in order.